1.
! PBE NaIrIN2, optimized geometry; values from VASP
&SYSTEM
  ibrav = 0, nat = 5, ntyp = 4
/
ATOMIC_SPECIES
Na 22.99 Na.upf
I 126.90 I.upf
N 14.01 N.upf
Ir 192.22 Ir.upf
CELL_PARAMETERS angstrom
4.207 0.000 0.000
0.000 4.207 0.000
0.000 0.000 6.236
ATOMIC_POSITIONS crystal
Na 0.000 0.000 0.000
I 0.000 0.000 0.500
N 0.500 0.000 0.000
Ir 0.500 0.500 0.500
N 0.000 0.500 0.000
! SG = P4/mmm
! Distance to the lowest polymorph of the same formula = 1975.9 meV/atom
! V = 22.07 Å³ per atom
! N(E_F) = 4.69 states/eV/cell
! Uncorrected formation energy = 2476 meV/atom
! Raw total energy = -3.20 eV/atom
! Mass density = 5.57 g/cm3

2.
! PBE NaIrIN2, optimized geometry; values from VASP
&SYSTEM
  ibrav = 0, nat = 5, ntyp = 4
/
ATOMIC_SPECIES
I 126.90 I.upf
N 14.01 N.upf
Ir 192.22 Ir.upf
Na 22.99 Na.upf
CELL_PARAMETERS angstrom
3.853 0.000 0.000
0.000 3.853 0.000
0.000 0.000 7.523
ATOMIC_POSITIONS crystal
I 0.000 0.000 0.500
N 0.500 0.000 0.000
Ir 0.000 0.000 0.000
Na 0.500 0.500 0.500
N 0.000 0.500 0.000
! SG = P4/mmm
! Distance to the lowest polymorph of the same formula = 0.0 meV/atom
! V = 22.33 Å³ per atom
! N(E_F) = 3.66 states/eV/cell
! Uncorrected formation energy = 500 meV/atom
! Raw total energy = -5.18 eV/atom
! Mass density = 5.50 g/cm3

3.
! PBE NbIrIN2, optimized geometry; values from VASP
&SYSTEM
  ibrav = 0, nat = 5, ntyp = 4
/
ATOMIC_SPECIES
N 14.01 N.upf
Nb 92.91 Nb.upf
I 126.90 I.upf
Ir 192.22 Ir.upf
CELL_PARAMETERS angstrom
-0.424 -3.125 2.188
3.814 -0.387 0.187
0.135 4.377 6.278
ATOMIC_POSITIONS crystal
N 0.000 0.500 0.000
Nb 0.500 0.500 0.500
I 0.000 0.000 0.500
Ir 0.000 0.000 0.000
N 0.500 0.000 0.000
! SG = P4/mmm
! Distance to the lowest polymorph of the same formula = 273.6 meV/atom
! V = 22.56 Å³ per atom
! N(E_F) = 2.97 states/eV/cell
! Uncorrected formation energy = 1331 meV/atom
! Raw total energy = -6.10 eV/atom
! Mass density = 6.48 g/cm3

4.
! PBE NbIrIN2, optimized geometry; values from VASP
&SYSTEM
  ibrav = 0, nat = 5, ntyp = 4
/
ATOMIC_SPECIES
I 126.90 I.upf
Ir 192.22 Ir.upf
N 14.01 N.upf
Nb 92.91 Nb.upf
CELL_PARAMETERS angstrom
-0.919 1.312 -3.639
-2.318 -3.181 -0.561
-4.758 3.060 2.304
ATOMIC_POSITIONS crystal
I 0.000 0.000 0.500
Ir 0.500 0.500 0.500
N 0.500 0.000 0.000
Nb 0.000 0.000 0.000
N 0.000 0.500 0.000
! SG = P4/mmm
! Distance to the lowest polymorph of the same formula = 0.0 meV/atom
! V = 19.31 Å³ per atom
! N(E_F) = 3.82 states/eV/cell
! Uncorrected formation energy = 1057 meV/atom
! Raw total energy = -6.37 eV/atom
! Mass density = 7.57 g/cm3

5.
! PBE Nd8Ir3I3N, optimized geometry; values from VASP
&SYSTEM
  ibrav = 0, nat = 15, ntyp = 4
/
ATOMIC_SPECIES
Nd 144.24 Nd.upf
Ir 192.22 Ir.upf
N 14.01 N.upf
I 126.90 I.upf
CELL_PARAMETERS angstrom
-6.869 3.800 2.481
-0.128 -4.764 -6.715
0.475 -4.516 8.241
ATOMIC_POSITIONS crystal
Nd 0.213 0.427 0.675
Ir 0.500 0.500 0.500
N 0.000 0.000 0.500
I 0.000 0.500 0.000
Nd 0.271 0.542 0.313
Nd 0.251 0.038 0.325
Nd 0.787 0.573 0.325
Nd 0.213 0.962 0.674
Nd 0.787 0.038 0.326
Nd 0.749 0.962 0.675
Nd 0.729 0.458 0.687
Ir 0.000 0.500 0.500
Ir 0.500 0.000 0.500
I 0.000 0.000 0.000
I 0.500 0.500 0.000
! SG = R-3m
! V = 31.79 Å³ per atom
! N(E_F) = 12.06 states/eV/cell
! Uncorrected formation energy = -836 meV/atom
! Raw total energy = -6.02 eV/atom
! Mass density = 7.40 g/cm3

6.
! PBE NiIrI2N, optimized geometry; values from VASP
&SYSTEM
  ibrav = 0, nat = 5, ntyp = 4
/
ATOMIC_SPECIES
I 126.90 I.upf
N 14.01 N.upf
Ir 192.22 Ir.upf
Ni 58.69 Ni.upf
CELL_PARAMETERS angstrom
5.591 0.000 0.000
0.000 5.591 0.000
0.000 0.000 3.687
ATOMIC_POSITIONS crystal
I 0.000 0.500 0.000
N 0.000 0.000 0.500
I 0.500 0.000 0.000
Ir 0.000 0.000 0.000
Ni 0.500 0.500 0.500
! SG = P4/mmm
! Distance to the lowest polymorph of the same formula = 0.0 meV/atom
! V = 23.05 Å³ per atom
! N(E_F) = 6.29 states/eV/cell
! Uncorrected formation energy = 780 meV/atom
! Raw total energy = -4.43 eV/atom
! Mass density = 7.47 g/cm3

Number 1: spin magnetization 6.478 Bohr magnetons per cell. Number 2: spin magnetization 0.392 Bohr magnetons per cell. Number 3: spin magnetization 3.495 Bohr magnetons per cell. Number 4: spin magnetization 1.794 Bohr magnetons per cell. Number 5: spin magnetization 0.000 Bohr magnetons per cell. Number 6: spin magnetization 1.088 Bohr magnetons per cell.